Cs3La3MoO8 | GGA+U | relaxed

a = 12.6837 Å, b = 7.2370 Å, c = 8.1268 Å
α = 90.00°, β = 121.02°, γ = 90.00°
With the nearest neighbours (Å) after each atom.
Space group C2/m (No. 12)
One atom of each set of equivalent atoms:
Cs  0.0000  0.0000  0.0000  6 O 3.11-3.17
Cs  0.2500  0.2500  0.0000  6 O 3.12-3.13
La  0.0000  0.5000  0.5000  6 O 2.39-2.48
La  0.2500  0.2500  0.5000  6 O 2.40-2.51
Mo  0.0000  0.0000  0.5000  6 O 2.12-2.23
O  0.0212  0.2180  0.3452  1 Mo 2.12
O  0.2052  0.0000  0.6568  1 Mo 2.23, 2 La 2.44
O  0.2201  0.5000  0.6662  3 La 2.39-2.40

The electronic total energy comes out at -6.689 eV per atom.